Record 1
An optimized crystal structure of Ag2HgHPd6, computed with GGA-PBE.

```
Ag2HgHPd6
1.0
4.960 0.000 0.000
0.852 4.929 0.000
0.770 1.526 6.178
Ag Hg H Pd
2 1 1 6
Cartesian
0.000 0.000 0.000
1.601 1.356 3.328
1.619 3.912 4.745
3.764 1.869 2.450
2.492 3.762 1.973
2.494 1.254 0.612
4.099 5.184 5.451
4.086 2.645 4.085
4.929 5.010 2.696
4.968 2.546 1.308
```

Electronic total energy (eV/atom): -4.124
ρ (g cm⁻³): 11.6


Record 2
An optimized crystal structure of MgMnOs, computed with GGA-PBE.

```
MgMnOs
1.0
-1.444 1.444 5.215
1.444 -1.444 5.215
1.444 1.444 -5.215
Mg Mn Os
1 1 1
Cartesian
0.000 0.000 0.000
0.000 0.000 7.113
0.000 0.000 3.249
```

ρ (g cm⁻³): 10.3
E above lowest polymorph (meV per atom): 76


Record 3
An optimized crystal structure of Cs2AgOsI6, computed with GGA-PBE.

```
Cs2AgOsI6
1.0
0.000 5.800 5.800
5.800 0.000 5.800
5.800 5.800 0.000
Cs Ag Os I
2 1 1 6
Cartesian
2.900 2.900 2.900
8.700 8.700 8.700
0.000 0.000 0.000
5.800 5.800 5.800
5.800 5.800 3.059
5.800 3.059 5.800
8.541 5.800 5.800
3.059 5.800 5.800
5.800 8.541 5.800
5.800 5.800 8.541
```

Energy relative to the elements, uncorrected (eV per atom): -0.503
ρ (g cm⁻³): 5.6


Record 4
An optimized crystal structure of La8CuP3Br4, computed with GGA-PBE.

```
La8CuP3Br4
1.0
4.263 2.461 7.326
-4.263 2.461 7.326
0.000 -4.922 7.326
La Cu P Br
8 1 3 4
Cartesian
-2.164 -1.249 12.573
0.000 0.000 5.206
0.000 -2.499 9.406
-2.164 1.249 9.406
2.164 -1.249 12.573
0.000 2.499 12.573
0.000 0.000 16.772
2.164 1.249 9.406
0.000 0.000 10.989
-4.263 0.000 10.989
-2.131 1.231 3.663
2.131 1.231 3.663
0.000 0.000 0.000
-2.131 -1.231 7.326
-2.131 1.231 14.652
0.000 2.461 7.326
```

Energy relative to the elements, uncorrected (eV per atom): -1.359
ρ (g cm⁻³): 5.7


Record 5
An optimized crystal structure of Hg2Ge2Te5, computed with GGA-PBE.

```
Hg2Ge2Te5
1.0
11.021 -2.084 0.000
11.021 2.084 0.000
-2.006 0.000 7.105
Hg Ge Te
2 2 5
Cartesian
1.343 0.000 1.931
18.692 0.000 5.174
8.362 0.000 1.086
11.673 0.000 6.019
3.863 0.000 0.216
6.907 0.000 3.321
11.021 0.000 0.000
13.129 0.000 3.784
16.172 0.000 6.889
```

Energy relative to the elements, uncorrected (eV per atom): 0.034
ρ (g cm⁻³): 6.0


Record 6
An optimized crystal structure of SrAg3N, computed with GGA-PBE.

```
SrAg3N
1.0
5.813 0.000 0.000
0.000 5.813 0.000
0.000 0.000 5.813
Sr Ag N
1 3 1
Cartesian
0.000 0.000 0.000
0.000 0.000 2.906
0.000 2.906 0.000
2.906 0.000 0.000
2.906 2.906 2.906
```

Energy relative to the elements, uncorrected (eV per atom): 2.206
ρ (g cm⁻³): 3.6
E above lowest polymorph (meV per atom): 1807


Record 7
An optimized crystal structure of KLiV2Br8, computed with GGA-PBE.

```
KLiV2Br8
1.0
6.946 0.000 0.000
-3.473 6.015 0.000
0.000 0.000 9.723
K Li V Br
1 1 2 8
Cartesian
0.000 0.000 0.000
0.000 0.000 4.861
0.000 4.010 7.238
3.473 2.005 2.485
-1.023 1.952 6.571
-1.271 5.925 6.571
1.179 1.862 3.152
0.000 4.010 9.610
3.473 2.005 0.113
2.294 4.153 6.571
4.744 0.090 3.152
4.496 4.063 3.152
```

Energy relative to the elements, uncorrected (eV per atom): -1.049
ρ (g cm⁻³): 3.2


Record 8
An optimized crystal structure of Na3Cd4Pt4, computed with GGA-PBE.

```
Na3Cd4Pt4
1.0
-2.199 3.803 7.301
2.199 -3.803 7.301
2.199 3.803 -7.301
Na Cd Pt
3 4 4
Cartesian
0.000 0.000 0.000
2.199 0.000 5.643
0.000 3.803 1.657
2.199 1.511 -2.494
2.199 1.511 2.494
0.000 2.292 4.807
0.000 2.292 9.794
0.000 0.000 3.261
2.199 2.516 0.000
0.000 1.287 7.301
0.000 0.000 11.340
```

Electronic total energy (eV/atom): -3.063
ρ (g cm⁻³): 8.8


Record 9
An optimized crystal structure of MnTlAgS2, computed with GGA-PBE.

```
MnTlAgS2
1.0
2.721 -5.730 0.000
2.721 5.730 0.000
0.000 0.000 7.313
Mn Tl Ag S
2 2 2 4
Cartesian
1.360 0.000 0.000
4.081 0.000 0.000
2.721 2.865 5.524
2.721 -2.865 1.789
0.000 0.000 3.656
2.721 0.000 3.656
2.721 4.661 1.394
2.721 1.068 1.394
2.721 -1.068 5.919
2.721 -4.661 5.919
```

Energy relative to the elements, uncorrected (eV per atom): -0.233
ρ (g cm⁻³): 6.3


Record 10
An optimized crystal structure of PmY4N5, computed with GGA-PBE.

```
PmY4N5
1.0
-1.755 1.755 12.395
1.755 -1.755 12.395
1.755 1.755 -12.395
Pm Y N
1 4 5
Cartesian
0.000 0.000 0.000
0.000 0.000 4.973
0.000 0.000 9.865
0.000 0.000 14.925
0.000 0.000 19.817
0.000 0.000 2.540
0.000 0.000 7.428
0.000 0.000 12.395
0.000 0.000 17.362
0.000 0.000 22.249
```

Energy relative to the elements, uncorrected (eV per atom): -1.630
ρ (g cm⁻³): 6.2


Record 11
An optimized crystal structure of Ag5Au2Cl12, computed with GGA-PBE.

```
Ag5Au2Cl12
1.0
7.018 -3.751 0.000
7.018 3.751 0.000
-2.706 0.000 8.837
Ag Au Cl
5 2 12
Cartesian
0.000 0.000 0.000
2.108 0.000 6.781
3.961 0.000 1.096
7.370 0.000 7.741
9.222 0.000 2.056
5.665 1.917 4.419
5.665 -1.917 4.419
-0.389 0.000 2.770
3.651 1.853 3.187
2.509 1.930 8.512
8.821 1.930 0.326
7.680 1.853 5.651
4.686 0.000 5.984
6.644 0.000 2.853
3.651 -1.853 3.187
2.509 -1.930 8.512
8.821 -1.930 0.326
7.680 -1.853 5.651
11.719 0.000 6.067
```

Energy relative to the elements, uncorrected (eV per atom): -0.279
ρ (g cm⁻³): 4.8